A geometry-optimized TaRhN2O structure. Source: Alexandria, functional GGA-PBE.

abc: 4.086 4.086 3.892
angles: 90.00 90.00 90.00
Positions (direct):
1 Ta 0.000 0.000 0.000
2 Rh 0.500 0.500 0.500
3 N 0.000 0.500 0.000
4 N 0.500 0.000 0.000
5 O 0.000 0.000 0.500

- Density of states at the Fermi level: 4.53 states/eV per cell
- Formation energy without anion corrections: 82 meV per atom
- Total DFT energy (no corrections): -8.081 eV per atom
- Size of the total moment: 2.1 Bohr magnetons per cell
- Crystal system: tetragonal
- Density: 8.381 Mg/m³